DFT (GGA-PBE) results for a relaxed Pa2FePN5 crystal.

Summary:
Formation energy without anion corrections = -446 meV per atom
Space-group type = P4/mbm, No. 127
E = -157.01 eV for the cell shown

abc: 6.6710 6.6710 5.2287
angles: 90.00 90.00 90.00
Atoms (fractional coordinates):
Pa1 0.1839 0.3161 0.0000
Pa2 0.3161 0.8161 0.0000
Pa3 0.6839 0.1839 0.0000
Pa4 0.8161 0.6839 0.0000
Fe1 0.0000 0.0000 0.5000
Fe2 0.5000 0.5000 0.5000
P1 0.0000 0.5000 0.5000
P2 0.5000 0.0000 0.5000
N1 0.0000 0.0000 0.0000
N2 0.1289 0.6289 0.2649
N3 0.1289 0.6289 0.7351
N4 0.3711 0.1289 0.2649
N5 0.3711 0.1289 0.7351
N6 0.5000 0.5000 0.0000
N7 0.6289 0.8711 0.2649
N8 0.6289 0.8711 0.7351
N9 0.8711 0.3711 0.2649
N10 0.8711 0.3711 0.7351



DFT (GGA-PBE) results for a relaxed PaFePN4 crystal.

Summary:
Formation energy without anion corrections = -497 meV per atom
Space-group type = Imma, No. 74
E = -120.29 eV for the cell shown

abc: 6.1084 6.1084 6.1084
angles: 122.95 108.69 97.80
Atoms (fractional coordinates):
Pa1 0.0000 0.0000 0.0000
Pa2 0.5000 0.0000 0.5000
Fe1 0.5000 0.0000 0.0000
Fe2 0.5000 0.5000 0.5000
P1 0.1358 0.3858 0.7500
P2 0.8642 0.6142 0.2500
N1 0.1734 0.7298 0.4436
N2 0.2138 0.2702 0.9436
N3 0.2593 0.2755 0.5162
N4 0.2593 0.7430 0.9838
N5 0.7407 0.2570 0.0162
N6 0.7407 0.7245 0.4838
N7 0.7862 0.7298 0.0564
N8 0.8266 0.2702 0.5564



DFT (GGA-PBE) results for a relaxed PaFePN crystal.

Summary:
Formation energy without anion corrections = -1323 meV per atom
Space-group type = P4/nmm, No. 129
E = -73.97 eV for the cell shown

abc: 3.8415 3.8415 7.7548
angles: 90.00 90.00 90.00
Atoms (fractional coordinates):
Pa1 0.2500 0.2500 0.1572
Pa2 0.7500 0.7500 0.8428
Fe1 0.2500 0.7500 0.5000
Fe2 0.7500 0.2500 0.5000
P1 0.2500 0.2500 0.6427
P2 0.7500 0.7500 0.3573
N1 0.2500 0.7500 0.0000
N2 0.7500 0.2500 0.0000



DFT (GGA-PBE) results for a relaxed Pm2Fe2P2N crystal.

Summary:
Formation energy without anion corrections = -1044 meV per atom
Space-group type = C2/m, No. 12
E = -52.88 eV for the cell shown

abc: 5.6783 5.6783 6.7157
angles: 123.33 123.33 38.62
Atoms (fractional coordinates):
Pm1 0.0596 0.0596 0.3027
Pm2 0.9404 0.9404 0.6973
Fe1 0.3080 0.3080 0.9282
Fe2 0.6919 0.6919 0.0718
P1 0.3152 0.3152 0.2690
P2 0.6848 0.6848 0.7310
N1 0.5000 0.5000 0.0000



DFT (GGA-PBE) results for a relaxed Pm2FeP2N6 crystal.

Summary:
Formation energy without anion corrections = -626 meV per atom
Space-group type = R-3m, No. 166
E = -85.62 eV for the cell shown

abc: 6.0086 6.0086 6.0086
angles: 53.47 53.47 53.47
Atoms (fractional coordinates):
Pm1 0.2181 0.2181 0.2181
Pm2 0.7819 0.7819 0.7819
Fe1 0.0000 0.0000 0.0000
P1 0.4306 0.4306 0.4306
P2 0.5694 0.5694 0.5694
N1 0.2431 0.2431 0.7562
N2 0.2431 0.7562 0.2431
N3 0.2438 0.7569 0.7569
N4 0.7562 0.2431 0.2431
N5 0.7569 0.2438 0.7569
N6 0.7569 0.7569 0.2438



DFT (GGA-PBE) results for a relaxed PuFe2PN crystal.

Summary:
Formation energy without anion corrections = -828 meV per atom
Space-group type = Cmcm, No. 63
E = -98.26 eV for the cell shown

abc: 5.5441 5.5441 6.6454
angles: 90.00 90.00 142.39
Atoms (fractional coordinates):
Pu1 0.0433 0.9567 0.7500
Pu2 0.9567 0.0433 0.2500
Fe1 0.3298 0.6702 0.5560
Fe2 0.3298 0.6702 0.9440
Fe3 0.6702 0.3298 0.0560
Fe4 0.6702 0.3298 0.4440
P1 0.2298 0.7702 0.2500
P2 0.7702 0.2298 0.7500
N1 0.5000 0.5000 0.0000
N2 0.5000 0.5000 0.5000



DFT (GGA-PBE) results for a relaxed FePS2N crystal.

Summary:
Energy relative to the lowest polymorph listed for this composition = 500 meV/atom
Formation energy without anion corrections = 1121 meV per atom
Space-group type = P4/mmm, No. 123
E = -24.85 eV for the cell shown

abc: 4.2524 4.2524 3.7919
angles: 90.00 90.00 90.00
Atoms (fractional coordinates):
Fe1 0.0000 0.0000 0.0000
P1 0.5000 0.5000 0.0000
S1 0.0000 0.5000 0.5000
S2 0.5000 0.0000 0.5000
N1 0.5000 0.5000 0.5000



DFT (GGA-PBE) results for a relaxed FePS2N crystal.

Summary:
Energy relative to the lowest polymorph listed for this composition = 0 meV/atom
Formation energy without anion corrections = 621 meV per atom
Space-group type = P4/mmm, No. 123
E = -27.35 eV for the cell shown

abc: 4.5801 4.5801 3.3940
angles: 90.00 90.00 90.00
Atoms (fractional coordinates):
Fe1 0.0000 0.0000 0.0000
P1 0.5000 0.5000 0.5000
S1 0.0000 0.5000 0.0000
S2 0.5000 0.0000 0.0000
N1 0.0000 0.0000 0.5000